# BiS

A relaxed structure of BiS (GGA-PBE, the Alexandria database).

The uncorrected energy is -32.1 eV per cell.

The space group is C2/m (No. 12) and the conventional cell measures 5.653, 5.647 and 10.892 Å, with angles of 90.00, 98.71 and 90.00 degrees. The inequivalent atoms are Bi at (0.198, 0.000, 0.342) and S at (0.221, 0.500, 0.386).